Entry 1:
## CsMnZn2Pd (PBE)

Data for a relaxed CsMnZn2Pd crystal.

Cell and atoms, written as POSCAR:
```
CsMnZn2Pd
1.0
-4.765 0.324 1.483
-1.766 -3.128 -4.988
0.492 -4.293 2.518
Cs Mn Zn Pd
1 1 2 1
Cartesian
-0.883 -1.564 -2.494
-3.019 -3.548 -0.494
0.246 -2.146 1.259
-2.382 0.162 0.742
0.000 0.000 0.000
```

Results
- Energy: -2.916 eV/atom
- Density of states at the Fermi level: 0.819 states/eV/atom
- Energy relative to the elements: 0.6369 eV/atom

***

Entry 2:
## Cs2Pm2MnS6 (PBE)

Data for a relaxed Cs2Pm2MnS6 crystal.

Cell and atoms, written as POSCAR:
```
Cs2Pm2MnS6
1.0
-1.720 4.158 5.125
2.905 -6.002 1.434
6.981 4.150 -2.674
Cs S Pm Mn
2 6 2 1
Cartesian
2.106 -4.247 2.071
-0.921 2.403 4.488
3.890 -1.585 3.778
2.542 1.376 4.854
4.275 3.891 0.107
5.594 1.357 3.276
2.571 0.949 0.609
5.624 0.930 -0.969
3.309 2.852 2.560
4.856 -0.546 1.325
3.490 2.075 -1.337
```

Results
- Energy: -5.485 eV/atom

***

Entry 3:
## Cs4Pm3MnS8 (PBE)

Data for a relaxed Cs4Pm3MnS8 crystal.

Cell and atoms, written as POSCAR:
```
Cs4Pm3MnS8
1.0
8.138 0.000 0.000
0.000 9.331 0.713
-4.069 -4.150 5.987
S Cs Pm Mn
8 4 3 1
Cartesian
0.000 0.634 3.508
1.778 2.950 0.468
2.291 2.231 6.233
4.069 4.547 3.193
0.000 4.500 3.425
6.360 2.950 0.468
-2.291 2.231 6.233
4.069 0.681 3.275
-2.035 -2.075 2.994
4.069 0.000 0.000
2.035 -2.075 2.994
0.000 0.000 0.000
4.069 4.666 0.357
2.035 2.591 3.350
-2.035 2.591 3.350
0.000 4.666 0.357
```

Results
- Energy: -5.235 eV/atom

***

Entry 4:
## CsPmMnS3 (PBE)

Data for a relaxed CsPmMnS3 crystal.

Cell and atoms, written as POSCAR:
```
CsPmMnS3
1.0
4.197 0.000 0.000
0.000 9.462 -0.422
0.000 -2.925 9.526
S Cs Mn Pm
6 2 2 2
Cartesian
1.049 6.409 4.008
1.049 -1.305 8.089
3.148 4.023 1.249
3.148 0.127 5.095
1.049 2.513 7.855
3.148 7.841 1.014
3.148 5.239 6.915
1.049 1.298 2.188
1.049 -0.977 5.785
3.148 7.513 3.318
1.049 5.890 1.061
3.148 0.646 8.042
```

Results
- Energy: -5.932 eV/atom

***

Entry 5:
## Cs2PmMnS4 (PBE)

Data for a relaxed Cs2PmMnS4 crystal.

Cell and atoms, written as POSCAR:
```
Cs2PmMnS4
1.0
8.084 -0.081 0.809
-0.086 8.084 0.809
-3.298 -3.301 7.029
S Mn Cs Pm
8 2 4 2
Cartesian
-1.880 3.183 6.742
3.951 0.848 5.420
6.579 1.520 1.906
4.130 3.808 4.093
0.748 3.855 3.228
0.569 0.894 4.555
6.542 6.221 1.850
-1.843 -1.519 6.798
2.350 2.351 4.324
4.785 -3.381 7.838
4.042 -0.040 0.405
2.393 -1.691 3.919
3.999 4.002 0.809
-1.649 -1.650 3.514
6.391 2.311 4.729
-0.043 4.042 0.405
```

Results
- Energy: -5.144 eV/atom

***

Entry 6:
## Cs3Pm3MnS8 (PBE)

Data for a relaxed Cs3Pm3MnS8 crystal.

Cell and atoms, written as POSCAR:
```
Cs3Pm3MnS8
1.0
-4.476 -4.268 -5.219
7.448 2.397 -2.074
-0.380 -7.153 6.176
Pm S Cs Mn
3 8 3 1
Cartesian
-2.428 -5.710 0.478
3.534 -2.378 2.051
1.296 -4.512 -0.559
0.737 -4.352 -3.347
2.702 -2.092 -0.607
-0.930 -3.302 0.745
3.521 -5.721 -1.863
-0.111 -6.932 -0.510
1.854 -4.672 2.230
-3.442 -5.698 -2.184
6.033 -3.326 1.066
3.724 1.199 -1.037
0.000 0.000 0.000
1.486 -0.935 -3.646
-0.190 -3.577 3.088
```

Results
- Energy: -5.417 eV/atom

***

Entry 7:
## CsPm2MnSe4 (PBE)

Data for a relaxed CsPm2MnSe4 crystal.

Cell and atoms, written as POSCAR:
```
CsPm2MnSe4
1.0
4.253 0.000 0.000
-2.126 7.519 0.000
0.000 0.000 14.801
Mn Se Pm Cs
2 8 4 2
Cartesian
2.126 4.954 11.101
0.000 2.566 3.700
0.000 3.909 5.788
2.126 3.610 13.189
0.000 3.909 1.612
2.126 3.610 9.013
2.126 1.197 3.700
0.000 0.000 0.000
0.000 0.000 7.400
0.000 6.322 11.101
0.000 5.544 8.253
2.126 1.975 6.548
2.126 1.975 0.853
0.000 5.544 13.948
2.126 5.956 3.700
0.000 1.563 11.101
```

Results
- Energy: -5.640 eV/atom
- Density of states at the Fermi level: 0.359 states/eV/atom

***

Entry 8:
## Cs2PmMnSe4 (PBE)

Data for a relaxed Cs2PmMnSe4 crystal.

Cell and atoms, written as POSCAR:
```
Cs2PmMnSe4
1.0
-0.692 -8.926 0.528
1.232 -0.627 -8.861
5.995 4.347 5.071
Se Cs Mn Pm
8 4 2 2
Cartesian
-0.040 -7.296 -1.640
2.802 -0.342 -0.008
3.457 -0.605 -3.568
3.078 -4.601 0.306
6.575 2.090 -1.623
3.733 -4.864 -3.254
0.529 -1.989 -1.930
6.007 -3.217 -1.332
2.998 2.173 2.535
2.652 -2.290 2.799
0.270 -4.776 -4.167
-0.346 -4.463 0.264
3.268 -2.603 -1.631
5.303 -4.579 5.599
2.922 -7.066 -1.367
0.616 -0.313 -4.431
```

Results
- Energy: -4.732 eV/atom
- Density of states at the Fermi level: 0.545 states/eV/atom

***

Entry 9:
## CsPmMnSe3 (PBE)

Data for a relaxed CsPmMnSe3 crystal.

Cell and atoms, written as POSCAR:
```
CsPmMnSe3
1.0
-3.081 2.972 -0.720
-6.798 -6.250 3.290
3.687 5.718 7.818
Se Mn Pm Cs
6 2 2 2
Cartesian
-1.248 2.267 8.148
1.566 4.887 6.921
-4.588 -1.700 6.068
-4.944 0.172 2.239
-7.758 -2.448 3.465
-1.604 4.139 4.319
-7.089 -1.256 5.519
0.897 3.695 4.868
-1.396 5.073 7.279
-4.796 -2.634 3.108
-4.865 1.648 7.988
-1.327 0.791 2.399
```

Results
- Energy: -5.516 eV/atom

***

Entry 10:
## CsPmMnTe4 (PBE)

Data for a relaxed CsPmMnTe4 crystal.

Cell and atoms, written as POSCAR:
```
CsPmMnTe4
1.0
7.863 0.000 0.085
0.000 6.365 0.000
-2.976 0.000 10.474
Te Pm Cs Mn
8 2 2 2
Cartesian
6.906 3.147 3.235
1.584 4.774 6.177
3.136 4.774 1.945
3.303 1.591 4.382
6.906 0.036 3.235
-2.019 6.329 7.324
-2.019 3.218 7.324
1.752 1.591 8.614
4.521 4.774 4.788
0.366 1.591 5.771
1.718 1.591 0.508
3.169 4.774 10.051
3.738 1.591 6.962
1.149 4.774 3.597
```

Results
- Energy: -4.724 eV/atom
- Density of states at the Fermi level: 0.520 states/eV/atom

***

Entry 11:
## CsPmMnTe3 (PBE)

Data for a relaxed CsPmMnTe3 crystal.

Cell and atoms, written as POSCAR:
```
CsPmMnTe3
1.0
-3.372 -0.988 2.950
2.547 -10.079 -0.464
5.519 5.084 8.014
Pm Te Cs Mn
2 6 2 2
Cartesian
1.628 -6.298 1.535
3.066 0.315 8.964
5.110 -1.306 7.189
4.201 2.961 7.580
3.737 -6.000 4.047
0.957 0.017 6.452
0.493 -8.944 2.919
-0.416 -4.677 3.310
1.044 -1.166 2.587
3.650 -4.817 7.912
1.964 -7.967 4.929
2.730 1.984 5.570
```

Results
- Energy: -5.033 eV/atom
- Density of states at the Fermi level: 0.003 states/eV/atom

***

Entry 12:
## CsPrMnS4 (PBE)

Data for a relaxed CsPrMnS4 crystal.

Cell and atoms, written as POSCAR:
```
CsPrMnS4
1.0
6.803 0.000 -0.030
0.000 6.457 0.000
-2.727 0.000 9.122
Cs S Mn Pr
2 8 2 2
Cartesian
2.406 4.843 8.553
1.670 1.614 0.538
1.734 1.614 7.333
5.936 3.219 2.696
-1.860 3.238 6.396
1.200 4.843 5.087
2.876 1.614 4.004
2.342 4.843 1.758
-1.860 6.448 6.396
5.936 0.009 2.696
3.515 1.614 6.078
0.561 4.843 3.013
0.134 1.614 4.993
3.942 4.843 4.099
```

Results
- Energy: -5.703 eV/atom
- Density of states at the Fermi level: 0.379 states/eV/atom

***

Entry 13:
## CsPrMnS3 (PBE)

Data for a relaxed CsPrMnS3 crystal.

Cell and atoms, written as POSCAR:
```
CsPrMnS3
1.0
4.244 0.000 0.000
0.000 9.543 0.241
0.000 -3.442 9.367
S Pr Cs Mn
6 2 2 2
Cartesian
3.183 -0.164 5.096
1.061 2.160 8.072
1.061 6.266 4.512
3.183 3.942 1.536
1.061 -1.731 8.015
3.183 7.833 1.593
3.183 0.250 8.100
1.061 5.851 1.508
1.061 1.152 2.256
3.183 4.949 7.351
1.061 -1.282 5.729
3.183 7.383 3.878
```

Results
- Energy: -5.923 eV/atom

***

Entry 14:
## CsPrMn2Se4 (PBE)

Data for a relaxed CsPrMn2Se4 crystal.

Cell and atoms, written as POSCAR:
```
CsPrMn2Se4
1.0
-2.060 -6.638 -1.328
-1.058 -4.559 5.575
-7.101 -1.596 0.141
Cs Se Pr Mn
1 4 1 2
Cartesian
0.000 0.000 0.000
-4.662 -5.052 4.709
-7.748 -7.567 2.211
-4.471 -4.245 0.379
-3.556 -8.721 1.478
-5.109 -6.396 2.194
-6.775 -9.665 2.264
-3.443 -3.128 2.124
```

Results
- Energy: -5.362 eV/atom

***

Entry 15:
## CsPrMn2Te4 (PBE)

Data for a relaxed CsPrMn2Te4 crystal.

Cell and atoms, written as POSCAR:
```
CsPrMn2Te4
1.0
-1.730 -7.242 0.131
3.091 -4.469 5.470
-5.884 -2.343 4.396
Te Mn Cs Pr
4 2 1 1
Cartesian
-3.173 -4.827 3.023
-0.438 -5.410 6.905
-0.967 -9.381 3.464
-4.468 -8.488 6.601
-1.291 -3.448 3.969
-3.232 -10.605 6.027
0.000 0.000 0.000
-2.262 -7.027 4.998
```

Results
- Energy: -4.894 eV/atom

***

Entry 16:
## CsMn2Pt (PBE)

Data for a relaxed CsMn2Pt crystal.

Cell and atoms, written as POSCAR:
```
CsMn2Pt
1.0
0.000 3.482 3.482
3.482 0.000 3.482
3.482 3.482 0.000
Cs Mn Pt
1 2 1
Cartesian
0.000 0.000 0.000
1.741 1.741 1.741
5.224 5.224 5.224
3.482 3.482 3.482
```

Results
- Energy: -5.326 eV/atom
- Density of states at the Fermi level: 0.810 states/eV/atom
- Energy relative to the elements: 0.9822 eV/atom

***

Entry 17:
## Cs3MnPt (PBE)

Data for a relaxed Cs3MnPt crystal.

Cell and atoms, written as POSCAR:
```
Cs3MnPt
1.0
5.707 0.000 0.000
0.000 5.707 0.000
0.000 0.000 5.707
Cs Mn Pt
3 1 1
Cartesian
2.854 0.000 0.000
0.000 0.000 2.854
0.000 2.854 0.000
0.000 0.000 0.000
2.854 2.854 2.854
```

Results
- Energy: -2.209 eV/atom
- Density of states at the Fermi level: 2.497 states/eV/atom
- Energy relative to the elements: 1.3452 eV/atom

***

Entry 18:
## CsMn3Pt (PBE)

Data for a relaxed CsMn3Pt crystal.

Cell and atoms, written as POSCAR:
```
CsMn3Pt
1.0
4.872 0.000 0.000
0.000 4.872 0.000
0.000 0.000 4.872
Mn Pt Cs
3 1 1
Cartesian
2.436 0.000 0.000
0.000 0.000 2.436
0.000 2.436 0.000
2.436 2.436 2.436
0.000 0.000 0.000
```

Results
- Energy: -4.482 eV/atom
- Density of states at the Fermi level: 0.476 states/eV/atom
- Energy relative to the elements: 2.3984 eV/atom

***

Entry 19:
## CsMnPt (PBE)

Data for a relaxed CsMnPt crystal.

Cell and atoms, written as POSCAR:
```
CsMnPt
1.0
-3.729 -0.855 -1.065
2.962 -2.447 -1.005
-1.319 -4.919 12.069
Cs Pt Mn
2 2 2
Cartesian
-0.867 -6.333 6.717
0.118 -2.456 0.160
-0.930 -1.804 3.323
-1.272 -3.155 5.604
-0.369 -4.396 3.438
-2.600 -3.865 3.418
```

Results
- Energy: -5.140 eV/atom
- Density of states at the Fermi level: 0.460 states/eV/atom
- Energy relative to the elements: 0.2147 eV/atom

***

Entry 20:
## CsMn2PtRh (PBE)

Data for a relaxed CsMn2PtRh crystal.

Cell and atoms, written as POSCAR:
```
CsMn2PtRh
1.0
4.882 0.000 0.000
0.000 5.051 0.000
0.000 0.000 4.882
Mn Pt Rh Cs
2 1 1 1
Cartesian
2.441 0.000 0.000
0.000 0.000 2.441
0.000 2.525 0.000
2.441 2.525 2.441
0.000 0.000 0.000
```

Results
- Energy: -4.025 eV/atom
- Density of states at the Fermi level: 0.864 states/eV/atom
- Energy relative to the elements: 2.4924 eV/atom

***

Entry 21:
## Cs2MnPtS4 (PBE)

Data for a relaxed Cs2MnPtS4 crystal.

Cell and atoms, written as POSCAR:
```
Cs2MnPtS4
1.0
5.382 0.000 0.000
2.691 7.300 0.000
2.691 0.000 12.114
Cs Mn S Pt
4 2 8 2
Cartesian
6.727 3.650 10.356
5.382 0.000 4.299
6.727 3.650 1.758
2.691 0.000 7.815
2.691 0.000 0.000
4.036 3.650 6.057
2.849 2.357 4.787
8.231 4.943 7.327
3.878 1.293 1.270
5.223 4.943 4.787
4.195 6.006 1.270
4.195 1.293 10.845
9.260 6.006 10.845
5.223 2.357 7.327
6.727 3.650 6.057
0.000 0.000 0.000
```

Results
- Energy: -4.943 eV/atom
- Density of states at the Fermi level: 0.025 states/eV/atom

***

Entry 22:
## CsTiMnPt2 (PBE)

Data for a relaxed CsTiMnPt2 crystal.

Cell and atoms, written as POSCAR:
```
CsTiMnPt2
1.0
-1.583 -4.089 -2.765
1.381 -3.013 3.665
-4.719 0.402 2.108
Pt Mn Cs Ti
2 1 1 1
Cartesian
-0.792 -2.045 -1.383
-2.360 0.201 1.054
0.690 -1.507 1.832
0.000 0.000 0.000
-2.461 -3.350 1.504
```

Results
- Energy: -3.839 eV/atom
- Density of states at the Fermi level: 1.477 states/eV/atom
- Energy relative to the elements: 2.1613 eV/atom